No. 1
VASP calculation (PBE) on a relaxed structure of CsKNpS3.

Unit cell a=4.1543 b=17.4014 c=11.5330 alpha=90.00 beta=90.00 gamma=90.00
With the nearest neighbours (Å) after each atom.
Space group Cmcm (No. 63)
Symmetry-distinct sites (fractional):
Cs: 0.0000 0.1706 0.2500 [4 per cell]  4 S 3.17-3.47
K: 0.0000 0.1188 0.7500 [4 per cell]  4 S 2.88-3.07
Np: 0.0000 0.5000 0.0000 [4 per cell]  6 S 2.69-2.89
S: 0.0000 0.0983 0.5023 [8 per cell]  2 Np 2.69, 1 K 2.88
S: 0.0000 0.4892 0.7500 [4 per cell]  2 Np 2.89, 2 K 3.07

Computed properties:
- Raw total energy: -5.682 eV/atom
- Total magnetic moment: 12.0 μB per cell
- Theoretical density: 4.0 g cm⁻³

No. 2
VASP calculation (PBE) on a relaxed structure of InNiHgIr.

Unit cell a=6.4564 b=6.4564 c=6.4564 alpha=90.00 beta=90.00 gamma=90.00
With the nearest neighbours (Å) after each atom.
Space group F-43m (No. 216)
Symmetry-distinct sites (fractional):
In: 0.0000 0.0000 0.0000 [4 per cell]  4 Ni 2.80, 4 Hg 2.80
Ni: 0.2500 0.2500 0.2500 [4 per cell]  4 In 2.80, 4 Ir 2.80
Hg: 0.2500 0.2500 0.7500 [4 per cell]  4 In 2.80, 4 Ir 2.80
Ir: 0.0000 0.0000 0.5000 [4 per cell]  4 Hg 2.80, 4 Ni 2.80

Computed properties:
- Raw total energy: -3.998 eV/atom
- Total magnetic moment: 0.0 μB per cell
- Theoretical density: 14.0 g cm⁻³

No. 3
VASP calculation (PBE) on a relaxed structure of ZnCuTcNi.

Unit cell a=5.9050 b=5.9050 c=5.9050 alpha=90.00 beta=90.00 gamma=90.00
With the nearest neighbours (Å) after each atom.
Space group F-43m (No. 216)
Symmetry-distinct sites (fractional):
Zn: 0.0000 0.0000 0.0000 [4 per cell]  4 Ni 2.56, 4 Cu 2.56
Cu: 0.2500 0.2500 0.2500 [4 per cell]  4 Tc 2.56, 4 Zn 2.56
Tc: 0.0000 0.0000 0.5000 [4 per cell]  4 Ni 2.56, 4 Cu 2.56
Ni: 0.2500 0.2500 0.7500 [4 per cell]  4 Tc 2.56, 4 Zn 2.56

Computed properties:
- Distance to the lowest polymorph of the same formula: 0.0 kJ/mol of formula units
- Raw total energy: -5.072 eV/atom
- Total magnetic moment: 7.7 μB per cell
- Theoretical density: 9.2 g cm⁻³
- Formation energy from the elements: 0.16 eV/atom

No. 4
VASP calculation (PBE) on a relaxed structure of Zr4HgGeC2.

Unit cell a=3.3517 b=3.3517 c=14.3802 alpha=90.00 beta=90.00 gamma=120.00
With the nearest neighbours (Å) after each atom.
Space group P-6m2 (No. 187)
Symmetry-distinct sites (fractional):
Zr: 0.0000 0.0000 0.1529 [2 per cell]  3 C 2.32
Zr: 0.6667 0.3333 0.3287 [2 per cell]  3 C 2.30
Hg: 0.0000 0.0000 0.5000 [1 per cell]  6 Zr 3.13, 6 Hg 3.35
Ge: 0.6667 0.3333 0.0000 [1 per cell]  6 Zr 2.93
C: 0.3333 0.6667 0.2420 [2 per cell]  6 Zr 2.30-2.32

Computed properties:
- Raw total energy: -7.893 eV/atom
- Total magnetic moment: 0.0 μB per cell
- Theoretical density: 7.9 g cm⁻³

No. 5
VASP calculation (PBE) on a relaxed structure of Ho4BiSb3.

Unit cell a=6.2055 b=6.2055 c=6.2055 alpha=90.00 beta=90.00 gamma=90.00
With the nearest neighbours (Å) after each atom.
Space group Pm-3m (No. 221)
Symmetry-distinct sites (fractional):
Ho: 0.0000 0.0000 0.0000 [1 per cell]  6 Sb 3.10
Ho: 0.0000 0.5000 0.5000 [3 per cell]  4 Sb 3.10, 2 Bi 3.10
Bi: 0.5000 0.5000 0.5000 [1 per cell]  6 Ho 3.10
Sb: 0.0000 0.0000 0.5000 [3 per cell]  6 Ho 3.10

Computed properties:
- Raw total energy: -5.385 eV/atom
- Total magnetic moment: 0.0 μB per cell
- Theoretical density: 8.6 g cm⁻³

No. 6
VASP calculation (PBE) on a relaxed structure of GdHfFe.

Unit cell a=6.4673 b=6.4673 c=6.4673 alpha=90.00 beta=90.00 gamma=90.00
With the nearest neighbours (Å) after each atom.
Space group F-43m (No. 216)
Symmetry-distinct sites (fractional):
Gd: 0.0000 0.0000 0.0000 [4 per cell]  4 Hf 2.80, 4 Fe 2.80
Hf: 0.2500 0.2500 0.2500 [4 per cell]  4 Gd 2.80
Fe: 0.2500 0.2500 0.7500 [4 per cell]  4 Gd 2.80

Computed properties:
- Distance to the lowest polymorph of the same formula: 305.4 kJ/mol of formula units
- Raw total energy: -6.373 eV/atom
- Total magnetic moment: 5.3 μB per cell
- Theoretical density: 9.6 g cm⁻³
- Formation energy from the elements: 1.27 eV/atom